# 1
Density functional theory data (PBE-GGA) for BaSm2Tl after structural relaxation.

Properties
ΔE to the lowest computed polymorph ... 91 meV/atom
E_form ... 0.039 eV per atom

a b c (Å): 5.3266 5.3266 19.3406
angles (deg): 90.00 90.00 120.00
Closest atoms and distances in Å follow each position.
Space group R3m (No. 160, hexagonal axes)
One atom of each set of equivalent atoms:
Ba (0.0000, 0.0000, 0.0000)  4 Tl 3.73-4.10, 7 Sm 3.79-4.11
Sm (0.0000, 0.0000, 0.5517)  3 Tl 3.11
Sm (0.0000, 0.0000, 0.7877)  3 Tl 3.38, 3 Sm 3.61
Tl (0.0000, 0.0000, 0.1931)  6 Sm 3.11-3.38



# 2
Density functional theory data (PBE-GGA) for BaSm2Tl after structural relaxation.

Properties
ΔE to the lowest computed polymorph ... 35 meV/atom
E_form ... -0.017 eV per atom

a b c (Å): 5.1678 5.1678 5.0982
angles (deg): 90.00 90.00 90.00
Closest atoms and distances in Å follow each position.
Space group P4/mmm (No. 123)
One atom of each set of equivalent atoms:
Ba (0.0000, 0.0000, 0.0000)  8 Sm 3.63, 4 Tl 3.65
Sm (0.0000, 0.5000, 0.5000)  4 Ba 3.63, 4 Tl 3.63, 4 Sm 3.65
Tl (0.5000, 0.5000, 0.0000)  8 Sm 3.63, 4 Ba 3.65



# 3
Density functional theory data (PBE-GGA) for BaSmTm2 after structural relaxation.

Properties
ΔE to the lowest computed polymorph ... 72 meV/atom
E_form ... 0.246 eV per atom

a b c (Å): 3.5948 3.5948 38.4279
angles (deg): 90.00 90.00 120.00
Closest atoms and distances in Å follow each position.
Space group R-3m (No. 166, hexagonal axes)
One atom of each set of equivalent atoms:
Ba (0.0000, 0.0000, 0.0000)  2 Tm 3.59, 6 Ba 3.59
Sm (0.0000, 0.0000, 0.5000)  6 Tm 3.50, 6 Sm 3.59
Tm (0.0000, 0.0000, 0.0935)  3 Sm 3.50, 1 Ba 3.59, 6 Tm 3.59



# 4
Density functional theory data (PBE-GGA) for BaSm2Tm after structural relaxation.

Properties
ΔE to the lowest computed polymorph ... 0 meV/atom
E_form ... 0.134 eV per atom

a b c (Å): 3.7342 3.7342 10.7513
angles (deg): 90.00 90.00 90.00
Closest atoms and distances in Å follow each position.
Space group P4/mmm (No. 123)
One atom of each set of equivalent atoms:
Ba (0.0000, 0.0000, 0.0000)  4 Ba 3.73, 8 Sm 4.04
Sm (0.5000, 0.5000, 0.2848)  4 Tm 3.51, 4 Sm 3.73
Tm (0.0000, 0.0000, 0.5000)  8 Sm 3.51, 4 Tm 3.73



# 5
Density functional theory data (PBE-GGA) for BaSm2Tm after structural relaxation.

Properties
ΔE to the lowest computed polymorph ... 75 meV/atom
E_form ... 0.209 eV per atom

a b c (Å): 3.6379 3.6379 38.8607
angles (deg): 90.00 90.00 120.00
Closest atoms and distances in Å follow each position.
Space group R-3m (No. 166, hexagonal axes)
One atom of each set of equivalent atoms:
Ba (0.0000, 0.0000, 0.0000)  6 Ba 3.64, 2 Sm 3.66
Sm (0.0000, 0.0000, 0.0943)  3 Tm 3.51, 6 Sm 3.64, 1 Ba 3.66
Tm (0.0000, 0.0000, 0.5000)  6 Sm 3.51, 6 Tm 3.64



# 6
Density functional theory data (PBE-GGA) for BaSmTm2 after structural relaxation.

Properties
ΔE to the lowest computed polymorph ... 0 meV/atom
E_form ... 0.174 eV per atom

a b c (Å): 3.6933 3.6933 10.7059
angles (deg): 90.00 90.00 90.00
Closest atoms and distances in Å follow each position.
Space group P4/mmm (No. 123)
One atom of each set of equivalent atoms:
Ba (0.0000, 0.0000, 0.0000)  4 Ba 3.69, 8 Tm 3.99
Sm (0.0000, 0.0000, 0.5000)  8 Tm 3.50, 4 Sm 3.69
Tm (0.5000, 0.5000, 0.2820)  4 Sm 3.50, 4 Tm 3.69



# 7
Density functional theory data (PBE-GGA) for BaSm2Y after structural relaxation.

Properties
ΔE to the lowest computed polymorph ... 73 meV/atom
E_form ... 0.204 eV per atom

a b c (Å): 3.6642 3.6642 39.1086
angles (deg): 90.00 90.00 120.00
Closest atoms and distances in Å follow each position.
Space group R-3m (No. 166, hexagonal axes)
One atom of each set of equivalent atoms:
Ba (0.0000, 0.0000, 0.0000)  2 Sm 3.66, 6 Ba 3.66
Sm (0.0000, 0.0000, 0.0936)  3 Y 3.55, 1 Ba 3.66, 6 Sm 3.66
Y (0.0000, 0.0000, 0.5000)  6 Sm 3.55, 6 Y 3.66



# 8
Density functional theory data (PBE-GGA) for BaSmY2 after structural relaxation.

Properties
ΔE to the lowest computed polymorph ... 74 meV/atom
E_form ... 0.222 eV per atom

a b c (Å): 3.6399 3.6399 38.8320
angles (deg): 90.00 90.00 120.00
Closest atoms and distances in Å follow each position.
Space group R-3m (No. 166, hexagonal axes)
One atom of each set of equivalent atoms:
Ba (0.0000, 0.0000, 0.0000)  2 Y 3.62, 6 Ba 3.64
Sm (0.0000, 0.0000, 0.5000)  6 Y 3.54, 6 Sm 3.64
Y (0.0000, 0.0000, 0.0932)  3 Sm 3.54, 1 Ba 3.62, 6 Y 3.64



# 9
Density functional theory data (PBE-GGA) for BaSm2Y after structural relaxation.

Properties
ΔE to the lowest computed polymorph ... 0 meV/atom
E_form ... 0.130 eV per atom

a b c (Å): 3.7496 3.7496 10.8633
angles (deg): 90.00 90.00 90.00
Closest atoms and distances in Å follow each position.
Space group P4/mmm (No. 123)
One atom of each set of equivalent atoms:
Ba (0.0000, 0.0000, 0.0000)  4 Ba 3.75, 8 Sm 4.05
Sm (0.5000, 0.5000, 0.2815)  4 Y 3.56, 4 Sm 3.75
Y (0.0000, 0.0000, 0.5000)  8 Sm 3.56, 4 Y 3.75



# 10
Density functional theory data (PBE-GGA) for BaSmY2 after structural relaxation.

Properties
ΔE to the lowest computed polymorph ... 0 meV/atom
E_form ... 0.148 eV per atom

a b c (Å): 3.7310 3.7310 10.8600
angles (deg): 90.00 90.00 90.00
Closest atoms and distances in Å follow each position.
Space group P4/mmm (No. 123)
One atom of each set of equivalent atoms:
Ba (0.0000, 0.0000, 0.0000)  4 Ba 3.73, 8 Y 4.04
Sm (0.0000, 0.0000, 0.5000)  8 Y 3.54, 4 Sm 3.73
Y (0.5000, 0.5000, 0.2820)  4 Sm 3.54, 4 Y 3.73



# 11
Density functional theory data (PBE-GGA) for BaSmZn4 after structural relaxation.

Properties
E_form ... -0.137 eV per atom

a b c (Å): 8.1520 8.1520 8.1520
angles (deg): 90.00 90.00 90.00
Closest atoms and distances in Å follow each position.
Space group F-43m (No. 216)
One atom of each set of equivalent atoms:
Ba (0.0000, 0.0000, 0.0000)  12 Zn 3.39, 4 Sm 3.53
Sm (0.2500, 0.2500, 0.7500)  12 Zn 3.37, 4 Ba 3.53
Zn (0.1223, 0.1223, 0.3777)  6 Zn 2.82-2.94



# 12
Density functional theory data (PBE-GGA) for BaSmZn10 after structural relaxation.

Properties
E_form ... -0.219 eV per atom

a b c (Å): 4.2830 5.5539 9.5592
angles (deg): 90.00 90.00 90.00
Closest atoms and distances in Å follow each position.
Space group Pmmm (No. 47)
One atom of each set of equivalent atoms:
Ba (0.0000, 0.0000, 0.0000)  18 Zn 3.25-3.63
Sm (0.0000, 0.5000, 0.5000)  14 Zn 3.09-3.36
Zn (0.0000, 0.0000, 0.3415)  6 Zn 2.62-2.68
Zn (0.0000, 0.5000, 0.1764)  6 Zn 2.67-2.73
Zn (0.5000, 0.0000, 0.5000)  8 Zn 2.62-2.66
Zn (0.5000, 0.2607, 0.2671)  8 Zn 2.66-2.90
Zn (0.5000, 0.5000, 0.0000)  8 Zn 2.73-2.88